Here is an optimized crystal structure of Ba2NdCrN4 from Alexandria. Energies are from PBE.

- magnetization (μB/f.u.) = 0.958
- formation energy (no corrections) (eV/atom) = -0.727
- density (Mg/m³) = 5.5

Cell: 7.606 7.559 5.570 Å, 90.00 90.00 90.00°
Space group Pmn2_1 (No. 31)
Unique sites:
1 Ba 0.246 0.154 0.000 x4
2 Nd 0.000 0.378 0.518 x2
3 Cr 0.000 0.649 0.051 x2
4 N 0.000 0.420 0.965 x2
5 N 0.000 0.652 0.367 x2
6 N 0.199 0.760 0.975 x4